Below is an optimized crystal structure of CaCd3W, with properties calculated at the GGA-PBEsol level.

Cell and atoms, written as CIF:
```
data_CaCd3W
_cell_length_a 5.457
_cell_length_b 5.457
_cell_length_c 5.457
_cell_angle_alpha 90.00
_cell_angle_beta 90.00
_cell_angle_gamma 90.00
_symmetry_space_group_name_H-M 'P m -3 m'
_symmetry_Int_Tables_number 221
_symmetry_space_group_name_Hall '-P 4 2 3'
loop_
_atom_site_label
_atom_site_fract_x
_atom_site_fract_y
_atom_site_fract_z
Ca1 0.000 0.000 0.000
Cd1 0.000 0.000 0.500
W1 0.500 0.500 0.500
```

***

Below is an optimized crystal structure of CaY2Cd, with properties calculated at the GGA-PBEsol level.

Cell and atoms, written as CIF:
```
data_CaY2Cd
_cell_length_a 3.6149
_cell_length_b 3.6149
_cell_length_c 32.7394
_cell_angle_alpha 90.00
_cell_angle_beta 90.00
_cell_angle_gamma 120.00
_symmetry_space_group_name_H-M 'R -3 m'
_symmetry_Int_Tables_number 166
_symmetry_space_group_name_Hall '-R 3 2"'
loop_
_atom_site_label
_atom_site_fract_x
_atom_site_fract_y
_atom_site_fract_z
Ca1 0.0000 0.0000 0.0000
Y1 0.0000 0.0000 0.2391
Cd1 0.0000 0.0000 0.5000
```

***

Below is an optimized crystal structure of CaY2Cd, with properties calculated at the GGA-PBEsol level.

Cell and atoms, written as CIF:
```
data_CaY2Cd
_cell_length_a 3.561
_cell_length_b 3.561
_cell_length_c 9.287
_cell_angle_alpha 90.00
_cell_angle_beta 90.00
_cell_angle_gamma 90.00
_symmetry_space_group_name_H-M 'P 4 m m'
_symmetry_Int_Tables_number 99
_symmetry_space_group_name_Hall 'P 4 -2'
loop_
_atom_site_label
_atom_site_fract_x
_atom_site_fract_y
_atom_site_fract_z
Ca1 0.000 0.000 0.000
Y1 0.000 0.000 0.435
Y2 0.500 0.500 0.694
Cd1 0.500 0.500 0.225
```

***

no.,DFT total energy (eV per atom),ΔH_f (0 K) (eV/atom)
1,-1.923,1.983
2,-4.255,-0.011
3,-4.380,-0.136